VASP calculation (GGA-PBE) on NdEuIn2 after structural relaxation.

## Properties
As for the symmetry: No. 166. The calculation puts the final energy at -5.415 eV per atom. As for the energy relative to the elements: -1.14 eV/f.u. Its calculated density is 6.83 g/cm3.

a b c (Å): 10.4375 10.4375 10.4375
angles (deg): 21.00 21.00 21.00
Closest atoms and distances in Å follow each position.
Element x y z (fractional)
1 Nd 0.0000 0.0000 0.0000  6 In 3.34
2 Eu 0.5000 0.5000 0.5000  6 In 3.39
3 In 0.2509 0.2509 0.2509  3 Nd 3.34, 3 Eu 3.39
4 In 0.7491 0.7491 0.7491  3 Nd 3.34, 3 Eu 3.39


VASP calculation (GGA-PBE) on Nd2EuIn after structural relaxation.

## Properties
As for the symmetry: No. 123. The calculation puts the final energy at -5.826 eV per atom. As for the energy relative to the elements: -0.76 eV/f.u. Its calculated density is 6.86 g/cm3. The excess energy over the best structure of this formula in the dataset is 47 meV per atom.

a b c (Å): 3.7828 3.7828 9.3965
angles (deg): 90.00 90.00 90.00
Closest atoms and distances in Å follow each position.
Element x y z (fractional)
1 Nd 0.0000 0.0000 0.2143  4 In 3.35
2 Nd 0.0000 0.0000 0.7857  4 In 3.35
3 Eu 0.5000 0.5000 0.5000  4 Eu 3.78, 8 Nd 3.79
4 In 0.5000 0.5000 0.0000  8 Nd 3.35


VASP calculation (GGA-PBE) on NdEu2In after structural relaxation.

## Properties
As for the symmetry: No. 123. The calculation puts the final energy at -7.233 eV per atom. As for the energy relative to the elements: -0.88 eV/f.u. Its calculated density is 7.16 g/cm3. The excess energy over the best structure of this formula in the dataset is 0 meV per atom.

a b c (Å): 4.9790 4.9790 5.2645
angles (deg): 90.00 90.00 90.00
Closest atoms and distances in Å follow each position.
Element x y z (fractional)
1 Nd 0.0000 0.0000 0.0000  4 In 3.52, 8 Eu 3.62
2 Eu 0.0000 0.5000 0.5000  4 Eu 3.52, 4 In 3.62, 4 Nd 3.62
3 Eu 0.5000 0.0000 0.5000  4 Eu 3.52, 4 In 3.62, 4 Nd 3.62
4 In 0.5000 0.5000 0.0000  4 Nd 3.52, 8 Eu 3.62


VASP calculation (GGA-PBE) on Nd2EuIn after structural relaxation.

## Properties
As for the symmetry: No. 225. The calculation puts the final energy at -5.809 eV per atom. As for the energy relative to the elements: -0.69 eV/f.u. Its calculated density is 7.28 g/cm3. The excess energy over the best structure of this formula in the dataset is 64 meV per atom.

a b c (Å): 5.6364 5.6364 5.6364
angles (deg): 60.00 60.00 60.00
Closest atoms and distances in Å follow each position.
Element x y z (fractional)
1 Nd 0.2500 0.2500 0.2500  4 In 3.45, 4 Eu 3.45
2 Nd 0.7500 0.7500 0.7500  4 In 3.45, 4 Eu 3.45
3 Eu 0.0000 0.0000 0.0000  8 Nd 3.45
4 In 0.5000 0.5000 0.5000  8 Nd 3.45


VASP calculation (GGA-PBE) on NdEuInPd after structural relaxation.

## Properties
As for the symmetry: No. 216. The calculation puts the final energy at -6.236 eV per atom. As for the energy relative to the elements: -1.97 eV/f.u. Its calculated density is 7.99 g/cm3.

a b c (Å): 5.3383 5.3383 5.3383
angles (deg): 60.00 60.00 60.00
Closest atoms and distances in Å follow each position.
Element x y z (fractional)
1 Nd 0.0000 0.0000 0.0000  4 In 3.27, 4 Pd 3.27
2 Eu 0.5000 0.5000 0.5000  4 In 3.27, 4 Pd 3.27
3 In 0.7500 0.7500 0.7500  4 Nd 3.27, 4 Eu 3.27
4 Pd 0.2500 0.2500 0.2500  4 Nd 3.27, 4 Eu 3.27


VASP calculation (GGA-PBE) on PmNdEuIn after structural relaxation.

## Properties
As for the symmetry: No. 216. The calculation puts the final energy at -5.800 eV per atom. As for the energy relative to the elements: -0.67 eV/f.u. Its calculated density is 7.35 g/cm3.

a b c (Å): 5.6214 5.6214 5.6214
angles (deg): 60.00 60.00 60.00
Closest atoms and distances in Å follow each position.
Element x y z (fractional)
1 Pm 0.0000 0.0000 0.0000  4 In 3.44, 4 Eu 3.44
2 Nd 0.5000 0.5000 0.5000  4 Eu 3.44, 4 In 3.44
3 Eu 0.2500 0.2500 0.2500  4 Nd 3.44, 4 Pm 3.44
4 In 0.7500 0.7500 0.7500  4 Nd 3.44, 4 Pm 3.44